[1]
Computed, not measured: Cs2NaI6N after structural relaxation at the PBE level of DFT. Values from VASP.

For the formation energy from raw total energies, the calculation gives -0.358 eV per atom. Its space group is I4/mmm (139). Its size of the total moment is 0.0 μB per cell. The total energy is -2.423 eV/atom. As for the density of states at the Fermi level: 0.441 states/eV per cell.

```
&SYSTEM
  ibrav = 0, nat = 10, ntyp = 4
/
ATOMIC_SPECIES
Cs 132.91 Cs.upf
Na 22.99 Na.upf
I 126.90 I.upf
N 14.01 N.upf
CELL_PARAMETERS angstrom
-4.116 4.116 5.816
4.116 -4.116 5.816
4.116 4.116 -5.816
ATOMIC_POSITIONS crystal
Cs 0.250 0.750 0.500
Cs 0.750 0.250 0.500
Na 0.000 0.000 0.000
I 0.275 0.275 0.000
I 0.275 0.275 0.550
I 0.275 0.725 0.000
I 0.725 0.275 0.000
I 0.725 0.725 0.000
I 0.725 0.725 0.450
N 0.500 0.500 0.000
```

[2]
Computed, not measured: CsNaIN2 after structural relaxation at the PBE level of DFT. Values from VASP.

For the formation energy from raw total energies, the calculation gives 1.415 eV per atom. Its space group is P4/mmm (123). Its size of the total moment is 4.4 μB per cell. The total energy is -2.659 eV/atom. As for the density of states at the Fermi level: 1.133 states/eV per cell.

```
&SYSTEM
  ibrav = 0, nat = 5, ntyp = 4
/
ATOMIC_SPECIES
Cs 132.91 Cs.upf
Na 22.99 Na.upf
I 126.90 I.upf
N 14.01 N.upf
CELL_PARAMETERS angstrom
5.001 0.000 0.000
0.000 5.001 0.000
0.000 0.000 7.757
ATOMIC_POSITIONS crystal
Cs 0.000 0.000 0.000
Na 0.500 0.500 0.500
I 0.000 0.000 0.500
N 0.000 0.500 0.000
N 0.500 0.000 0.000
```

[3]
Computed, not measured: CsNiI2N after structural relaxation at the PBE level of DFT. Values from VASP.

For the formation energy from raw total energies, the calculation gives 0.027 eV per atom. Its space group is P4/mmm (123). Its size of the total moment is 0.0 μB per cell. The total energy is -3.585 eV/atom. As for the density of states at the Fermi level: 6.090 states/eV per cell.

```
&SYSTEM
  ibrav = 0, nat = 5, ntyp = 4
/
ATOMIC_SPECIES
Cs 132.91 Cs.upf
Ni 58.69 Ni.upf
I 126.90 I.upf
N 14.01 N.upf
CELL_PARAMETERS angstrom
6.578 0.000 0.000
0.000 6.578 0.000
0.000 0.000 3.484
ATOMIC_POSITIONS crystal
Cs 0.000 0.000 0.000
Ni 0.500 0.500 0.500
I 0.000 0.500 0.500
I 0.500 0.000 0.500
N 0.500 0.500 0.000
```

[4]
Computed, not measured: CsOsIN2 after structural relaxation at the PBE level of DFT. Values from VASP.

For the formation energy from raw total energies, the calculation gives 3.119 eV per atom. Its space group is P4/mmm (123). Its size of the total moment is 5.3 μB per cell. The total energy is -2.937 eV/atom. As for the density of states at the Fermi level: 5.900 states/eV per cell.

```
&SYSTEM
  ibrav = 0, nat = 5, ntyp = 4
/
ATOMIC_SPECIES
Cs 132.91 Cs.upf
Os 190.23 Os.upf
I 126.90 I.upf
N 14.01 N.upf
CELL_PARAMETERS angstrom
4.415 0.000 0.000
0.000 4.415 0.000
0.000 0.000 7.343
ATOMIC_POSITIONS crystal
Cs 0.000 0.000 0.000
Os 0.500 0.500 0.500
I 0.000 0.000 0.500
N 0.000 0.500 0.000
N 0.500 0.000 0.000
```

[5]
Computed, not measured: CsOsI2N after structural relaxation at the PBE level of DFT. Values from VASP.

For the formation energy from raw total energies, the calculation gives -0.003 eV per atom. Its space group is P4/mmm (123). Its size of the total moment is 0.0 μB per cell. The total energy is -4.705 eV/atom. As for the density of states at the Fermi level: 3.021 states/eV per cell.

```
&SYSTEM
  ibrav = 0, nat = 5, ntyp = 4
/
ATOMIC_SPECIES
Cs 132.91 Cs.upf
Os 190.23 Os.upf
I 126.90 I.upf
N 14.01 N.upf
CELL_PARAMETERS angstrom
6.017 0.000 0.000
0.000 6.017 0.000
0.000 0.000 3.820
ATOMIC_POSITIONS crystal
Cs 0.000 0.000 0.000
Os 0.500 0.500 0.500
I 0.000 0.500 0.500
I 0.500 0.000 0.500
N 0.500 0.500 0.000
```

[6]
Computed, not measured: CsOsIN2 after structural relaxation at the PBE level of DFT. Values from VASP.

For the formation energy from raw total energies, the calculation gives 2.366 eV per atom. Its space group is P4/mmm (123). Its size of the total moment is 3.9 μB per cell. The total energy is -3.691 eV/atom. As for the density of states at the Fermi level: 2.627 states/eV per cell.

```
&SYSTEM
  ibrav = 0, nat = 5, ntyp = 4
/
ATOMIC_SPECIES
Cs 132.91 Cs.upf
Os 190.23 Os.upf
I 126.90 I.upf
N 14.01 N.upf
CELL_PARAMETERS angstrom
4.515 0.000 0.000
0.000 4.515 0.000
0.000 0.000 5.023
ATOMIC_POSITIONS crystal
Cs 0.000 0.000 0.000
Os 0.500 0.500 0.000
I 0.500 0.500 0.500
N 0.000 0.500 0.500
N 0.500 0.000 0.500
```

[7]
Computed, not measured: CsOsIN2 after structural relaxation at the PBE level of DFT. Values from VASP.

For the formation energy from raw total energies, the calculation gives 1.070 eV per atom. Its space group is P4/mmm (123). Its size of the total moment is 0.4 μB per cell. The total energy is -4.987 eV/atom. As for the density of states at the Fermi level: 3.761 states/eV per cell.

```
&SYSTEM
  ibrav = 0, nat = 5, ntyp = 4
/
ATOMIC_SPECIES
Cs 132.91 Cs.upf
Os 190.23 Os.upf
I 126.90 I.upf
N 14.01 N.upf
CELL_PARAMETERS angstrom
4.267 0.000 0.000
0.000 4.267 0.000
0.000 0.000 5.674
ATOMIC_POSITIONS crystal
Cs 0.000 0.000 0.000
Os 0.500 0.500 0.500
I 0.500 0.500 0.000
N 0.000 0.500 0.500
N 0.500 0.000 0.500
```

[8]
Computed, not measured: CsOsI2N after structural relaxation at the PBE level of DFT. Values from VASP.

For the formation energy from raw total energies, the calculation gives 2.421 eV per atom. Its space group is P4/mmm (123). Its size of the total moment is 5.2 μB per cell. The total energy is -2.281 eV/atom. As for the density of states at the Fermi level: 8.584 states/eV per cell.

```
&SYSTEM
  ibrav = 0, nat = 5, ntyp = 4
/
ATOMIC_SPECIES
Cs 132.91 Cs.upf
Os 190.23 Os.upf
I 126.90 I.upf
N 14.01 N.upf
CELL_PARAMETERS angstrom
6.967 0.000 0.000
0.000 6.967 0.000
0.000 0.000 4.276
ATOMIC_POSITIONS crystal
Cs 0.000 0.000 0.000
Os 0.500 0.500 0.500
I 0.000 0.500 0.000
I 0.500 0.000 0.000
N 0.000 0.000 0.500
```

Q: Which value of size of the total moment does entry 2 give?
A: 4.4 μB per cell